Record 1
Below is Ti2HgRh after structural relaxation, with properties calculated at the PBE-GGA level.

- energy relative to the elements (eV per atom) = -0.27
- DFT total energy (eV/atom) = -6.129

a b c (Å): 4.057 4.057 4.022
angles (deg): 90.00 90.00 90.00
Positions (direct):
Ti: 0.000 0.500 0.000
Ti: 0.500 0.000 0.000
Hg: 0.000 0.000 0.500
Rh: 0.500 0.500 0.500

***

Record 2
Below is Na2Pb2Au after structural relaxation, with properties calculated at the PBE-GGA level.

- energy relative to the elements (eV per atom) = 0.13
- DFT total energy (eV/atom) = -2.537

a b c (Å): 8.744 8.744 8.744
angles (deg): 152.92 152.92 38.67
Positions (direct):
Na: 0.250 0.750 0.500
Na: 0.750 0.250 0.500
Pb: 0.090 0.090 0.000
Pb: 0.910 0.910 0.000
Au: 0.500 0.500 0.000

***

Record 3
Below is CaAcMg2Sn2 after structural relaxation, with properties calculated at the PBE-GGA level.

- energy relative to the elements (eV per atom) = -0.54
- DFT total energy (eV/atom) = -3.422

a b c (Å): 5.024 5.024 7.784
angles (deg): 90.00 90.00 120.00
Positions (direct):
Ca: 0.000 0.000 0.000
Ac: 0.000 0.000 0.500
Mg: 0.333 0.667 0.198
Mg: 0.667 0.333 0.802
Sn: 0.333 0.667 0.766
Sn: 0.667 0.333 0.234

***

Record 4
Below is Sm4AlCd2Hg after structural relaxation, with properties calculated at the PBE-GGA level.

- energy relative to the elements (eV per atom) = -0.36
- DFT total energy (eV/atom) = -3.458

a b c (Å): 9.278 9.278 9.278
angles (deg): 33.41 33.41 33.41
Positions (direct):
Sm: 0.123 0.123 0.123
Sm: 0.373 0.373 0.373
Sm: 0.627 0.627 0.627
Sm: 0.877 0.877 0.877
Al: 0.000 0.000 0.000
Cd: 0.251 0.251 0.251
Cd: 0.749 0.749 0.749
Hg: 0.500 0.500 0.500

***

Record 5
Below is InIr2Se after structural relaxation, with properties calculated at the PBE-GGA level.

- formation energy from raw total energies (kJ/mol of formula units) = 176
- DFT total energy (eV/atom) = -5.529

a b c (Å): 4.578 4.578 4.578
angles (deg): 60.00 60.00 60.00
Positions (direct):
In: 0.000 0.000 0.000
Ir: 0.250 0.250 0.250
Ir: 0.750 0.750 0.750
Se: 0.500 0.500 0.500

***

Record 6
Below is SmAsAu after structural relaxation, with properties calculated at the PBE-GGA level.

- energy relative to the elements (eV per atom) = -0.89
- DFT total energy (eV/atom) = -5.110

a b c (Å): 4.376 4.376 4.115
angles (deg): 90.00 90.00 120.00
Positions (direct):
Sm: 0.000 0.000 0.000
As: 0.667 0.333 0.561
Au: 0.333 0.667 0.435

***

Record 7
Below is Dy4CoS3 after structural relaxation, with properties calculated at the PBE-GGA level.

- formation energy from raw total energies (kJ/mol of formula units) = -1167
- DFT total energy (eV/atom) = -6.249

a b c (Å): 6.965 7.877 6.673
angles (deg): 90.00 109.36 90.00
Positions (direct):
Dy: 0.237 0.120 0.003
Dy: 0.237 0.357 0.486
Dy: 0.237 0.643 0.986
Dy: 0.237 0.880 0.503
Dy: 0.763 0.120 0.497
Dy: 0.763 0.357 0.014
Dy: 0.763 0.643 0.514
Dy: 0.763 0.880 0.997
Co: 0.000 0.117 0.250
Co: 0.000 0.883 0.750
S: 0.000 0.382 0.750
S: 0.000 0.618 0.250
S: 0.500 0.127 0.750
S: 0.500 0.386 0.250
S: 0.500 0.614 0.750
S: 0.500 0.873 0.250

***

Record 8
Below is Tb8PrDy2 after structural relaxation, with properties calculated at the PBE-GGA level.

- energy relative to the elements (eV per atom) = 0.11
- DFT total energy (eV/atom) = -4.525

a b c (Å): 9.381 9.381 9.381
angles (deg): 145.66 128.40 63.45
Positions (direct):
Tb: 0.155 0.361 0.794
Tb: 0.163 0.163 0.000
Tb: 0.296 0.000 0.296
Tb: 0.434 0.639 0.794
Tb: 0.566 0.361 0.206
Tb: 0.704 0.000 0.704
Tb: 0.837 0.837 0.000
Tb: 0.845 0.639 0.206
Pr: 0.000 0.500 0.500
Dy: 0.301 0.801 0.500
Dy: 0.699 0.199 0.500

***

Record 9
Below is CaPmMg2Ge2 after structural relaxation, with properties calculated at the PBE-GGA level.

- energy relative to the elements (eV per atom) = -0.52
- DFT total energy (eV/atom) = -3.712

a b c (Å): 4.666 4.666 7.348
angles (deg): 90.00 90.00 120.00
Positions (direct):
Ca: 0.000 0.000 0.000
Pm: 0.000 0.000 0.500
Mg: 0.333 0.667 0.235
Mg: 0.667 0.333 0.765
Ge: 0.333 0.667 0.752
Ge: 0.667 0.333 0.248

***

Record 10
Below is KCd4Ag2 after structural relaxation, with properties calculated at the PBE-GGA level.

- energy relative to the elements (eV per atom) = -0.04
- DFT total energy (eV/atom) = -1.534

a b c (Å): 6.062 6.062 6.062
angles (deg): 103.11 103.11 123.12
Positions (direct):
K: 0.000 0.000 0.000
Cd: 0.304 0.304 0.609
Cd: 0.304 0.696 0.000
Cd: 0.696 0.304 0.000
Cd: 0.696 0.696 0.391
Ag: 0.250 0.750 0.500
Ag: 0.750 0.250 0.500

***

Record 11
Below is Pr2Co3Ge5 after structural relaxation, with properties calculated at the PBE-GGA level.

- energy relative to the elements (eV per atom) = -0.58
- DFT total energy (eV/atom) = -5.973

a b c (Å): 8.261 8.261 8.261
angles (deg): 106.90 88.10 137.93
Positions (direct):
Pr: 0.134 0.237 0.371
Pr: 0.366 0.737 0.103
Pr: 0.634 0.263 0.897
Pr: 0.866 0.763 0.629
Co: 0.137 0.892 0.029
Co: 0.250 0.750 0.500
Co: 0.363 0.392 0.755
Co: 0.637 0.608 0.245
Co: 0.750 0.250 0.500
Co: 0.863 0.108 0.971
Ge: 0.017 0.750 0.267
Ge: 0.098 0.657 0.755
Ge: 0.250 0.250 0.000
Ge: 0.402 0.157 0.560
Ge: 0.483 0.750 0.733
Ge: 0.517 0.250 0.267
Ge: 0.598 0.843 0.440
Ge: 0.750 0.750 0.000
Ge: 0.902 0.343 0.245
Ge: 0.983 0.250 0.733

***

Record 12
Below is Li2ReP after structural relaxation, with properties calculated at the PBE-GGA level.

- energy relative to the elements (eV per atom) = 0.01
- DFT total energy (eV/atom) = -5.416

a b c (Å): 4.439 4.439 4.981
angles (deg): 96.10 96.10 33.92
Positions (direct):
Li: 0.000 0.000 0.000
Li: 0.237 0.237 0.794
Re: 0.755 0.755 0.311
P: 0.502 0.502 0.486

***

Record 13
Below is TbNdY2 after structural relaxation, with properties calculated at the PBE-GGA level.

- energy relative to the elements (eV per atom) = 0.02
- DFT total energy (eV/atom) = -5.564

a b c (Å): 6.224 6.229 7.188
angles (deg): 73.26 89.90 80.64
Positions (direct):
Tb: 0.125 0.251 0.187
Tb: 0.875 0.749 0.813
Nd: 0.124 0.250 0.688
Nd: 0.876 0.750 0.312
Y: 0.375 0.750 0.062
Y: 0.376 0.750 0.563
Y: 0.624 0.250 0.437
Y: 0.625 0.250 0.938

***

Record 14
Below is HoEr2Au after structural relaxation, with properties calculated at the PBE-GGA level.

- energy relative to the elements (eV per atom) = -0.30
- DFT total energy (eV/atom) = -4.541

a b c (Å): 9.952 9.952 9.952
angles (deg): 21.43 21.43 21.43
Positions (direct):
Ho: 0.000 0.000 0.000
Er: 0.569 0.569 0.569
Er: 0.763 0.763 0.763
Au: 0.165 0.165 0.165

***

Record 15
Below is GaSbAu after structural relaxation, with properties calculated at the PBE-GGA level.

- formation energy from raw total energies (kJ/mol of formula units) = -19
- DFT total energy (eV/atom) = -3.543

a b c (Å): 4.647 4.647 4.647
angles (deg): 60.00 60.00 60.00
Positions (direct):
Ga: 0.000 0.000 0.000
Sb: 0.500 0.500 0.500
Au: 0.750 0.750 0.750

***

Record 16
Below is Sr5CaHg6 after structural relaxation, with properties calculated at the PBE-GGA level.

- energy relative to the elements (eV per atom) = -0.53
- DFT total energy (eV/atom) = -1.550

a b c (Å): 8.905 8.905 7.862
angles (deg): 90.00 90.00 143.03
Positions (direct):
Sr: 0.000 0.000 0.000
Sr: 0.332 0.668 0.000
Sr: 0.334 0.666 0.500
Sr: 0.666 0.334 0.500
Sr: 0.668 0.332 0.000
Ca: 0.000 0.000 0.500
Hg: 0.164 0.836 0.255
Hg: 0.164 0.836 0.745
Hg: 0.500 0.500 0.257
Hg: 0.500 0.500 0.743
Hg: 0.836 0.164 0.255
Hg: 0.836 0.164 0.745

***

Record 17
Below is Tm2ZrTl3Te6 after structural relaxation, with properties calculated at the PBE-GGA level.

- formation energy from raw total energies (kJ/mol of formula units) = -1011
- DFT total energy (eV/atom) = -4.494

a b c (Å): 7.483 7.483 8.620
angles (deg): 98.32 98.32 119.97
Positions (direct):
Tm: 0.166 0.834 0.000
Tm: 0.834 0.166 0.000
Zr: 0.500 0.500 0.000
Tl: 0.000 0.000 0.500
Tl: 0.329 0.671 0.500
Tl: 0.671 0.329 0.500
Te: 0.106 0.431 0.791
Te: 0.246 0.246 0.212
Te: 0.431 0.106 0.791
Te: 0.569 0.894 0.209
Te: 0.754 0.754 0.788
Te: 0.894 0.569 0.209

***

Record 18
Below is BaCeSn2Au2 after structural relaxation, with properties calculated at the PBE-GGA level.

- energy relative to the elements (eV per atom) = -0.73
- DFT total energy (eV/atom) = -4.470

a b c (Å): 4.869 4.869 8.328
angles (deg): 90.00 90.00 120.00
Positions (direct):
Ba: 0.000 0.000 0.000
Ce: 0.000 0.000 0.500
Sn: 0.333 0.667 0.704
Sn: 0.667 0.333 0.296
Au: 0.333 0.667 0.303
Au: 0.667 0.333 0.697

***

Record 19
Below is Dy2Zn15Ag2 after structural relaxation, with properties calculated at the PBE-GGA level.

- energy relative to the elements (eV per atom) = -0.23
- DFT total energy (eV/atom) = -2.018

a b c (Å): 6.829 6.829 6.829
angles (deg): 82.95 82.95 82.95
Positions (direct):
Dy: 0.159 0.159 0.159
Dy: 0.841 0.841 0.841
Zn: 0.000 0.500 0.500
Zn: 0.146 0.146 0.663
Zn: 0.146 0.663 0.146
Zn: 0.202 0.500 0.798
Zn: 0.202 0.798 0.500
Zn: 0.337 0.854 0.854
Zn: 0.500 0.000 0.500
Zn: 0.500 0.202 0.798
Zn: 0.500 0.500 0.000
Zn: 0.500 0.798 0.202
Zn: 0.663 0.146 0.146
Zn: 0.798 0.202 0.500
Zn: 0.798 0.500 0.202
Zn: 0.854 0.337 0.854
Zn: 0.854 0.854 0.337
Ag: 0.393 0.393 0.393
Ag: 0.607 0.607 0.607

***

Record 20
Below is Li14TlSi after structural relaxation, with properties calculated at the PBE-GGA level.

- formation energy from raw total energies (kJ/mol of formula units) = -153
- DFT total energy (eV/atom) = -2.261

a b c (Å): 6.699 6.699 6.433
angles (deg): 90.00 90.00 90.00
Positions (direct):
Li: 0.000 0.000 0.000
Li: 0.000 0.500 0.000
Li: 0.000 0.500 0.500
Li: 0.235 0.235 0.275
Li: 0.235 0.235 0.725
Li: 0.235 0.765 0.275
Li: 0.235 0.765 0.725
Li: 0.500 0.000 0.000
Li: 0.500 0.000 0.500
Li: 0.500 0.500 0.000
Li: 0.765 0.235 0.275
Li: 0.765 0.235 0.725
Li: 0.765 0.765 0.275
Li: 0.765 0.765 0.725
Tl: 0.500 0.500 0.500
Si: 0.000 0.000 0.500

***

Record 21
Below is KPuGa4 after structural relaxation, with properties calculated at the PBE-GGA level.

- energy relative to the elements (eV per atom) = -0.11
- DFT total energy (eV/atom) = -4.696

a b c (Å): 5.693 5.693 5.693
angles (deg): 60.00 60.00 60.00
Positions (direct):
K: 0.000 0.000 0.000
Pu: 0.750 0.750 0.750
Ga: 0.376 0.376 0.376
Ga: 0.376 0.376 0.872
Ga: 0.376 0.872 0.376
Ga: 0.872 0.376 0.376

***

Record 22
Below is BaMg2Te after structural relaxation, with properties calculated at the PBE-GGA level.

- formation energy from raw total energies (kJ/mol of formula units) = -198
- DFT total energy (eV/atom) = -2.576

a b c (Å): 4.156 4.156 7.510
angles (deg): 90.00 90.00 90.00
Positions (direct):
Ba: 0.000 0.000 0.000
Mg: 0.000 0.000 0.501
Mg: 0.500 0.500 0.332
Te: 0.500 0.500 0.730

***

Record 23
Below is KSr2P after structural relaxation, with properties calculated at the PBE-GGA level.

- energy relative to the elements (eV per atom) = -0.47
- DFT total energy (eV/atom) = -2.941

a b c (Å): 11.095 11.095 11.095
angles (deg): 158.92 157.27 31.20
Positions (direct):
K: 0.000 0.000 0.000
Sr: 0.332 0.332 0.000
Sr: 0.689 0.189 0.500
P: 0.229 0.729 0.500

***

Record 24
Below is Ba3Cu after structural relaxation, with properties calculated at the PBE-GGA level.

- energy relative to the elements (eV per atom) = 0.31
- DFT total energy (eV/atom) = -2.156

a b c (Å): 7.369 7.369 7.369
angles (deg): 137.70 137.70 61.37
Positions (direct):
Ba: 0.000 0.000 0.000
Ba: 0.250 0.750 0.500
Ba: 0.750 0.250 0.500
Cu: 0.500 0.500 0.000

***

Record 25
Below is Ta2NiRh after structural relaxation, with properties calculated at the PBE-GGA level.

- energy relative to the elements (eV per atom) = 0.32
- DFT total energy (eV/atom) = -8.886

a b c (Å): 9.147 9.147 9.147
angles (deg): 155.08 155.08 35.53
Positions (direct):
Ta: 0.119 0.625 0.994
Ta: 0.375 0.369 0.494
Ta: 0.631 0.125 0.006
Ta: 0.875 0.881 0.506
Ni: 0.000 0.000 0.000
Ni: 0.750 0.250 0.500
Rh: 0.250 0.750 0.500
Rh: 0.500 0.500 0.000